Here is a relaxed In7SnPb5 crystal from Alexandria. Energies are from PBE-GGA.

The calculation puts the total energy at -40.9 eV per formula unit. The calculation puts the density of states at the Fermi level at 0.32 states/eV/atom. The value obtained for the energy of formation is 0.06 eV/atom. Its mass density is 8.4 g/cm³.

It has space group Cm (No. 8), with a = 15.027 Å, b = 11.469 Å, c = 4.731 Å, α = 90.00°, β = 107.63° and γ = 90.00°. Symmetry generates all atoms from In at (0.000, 0.000, 0.000), In at (0.061, 0.500, 0.061), In at (0.228, 0.500, 0.727), In at (0.363, 0.190, 0.863), In at (0.367, 0.373, 0.369), Sn at (0.361, 0.000, 0.361), Pb at (0.041, 0.295, 0.539), Pb at (0.170, 0.000, 0.664) and Pb at (0.187, 0.217, 0.184).